Entry from Alexandria: a geometry-optimized U2Si6IrOs structure (PBE-GGA).

Cell: 9.2291 9.2291 9.2291 Å, 90.00 90.00 90.00°
Space group Fm-3m (No. 225)
Inequivalent atoms, fractional coordinates:
U1 0.2500 0.2500 0.2500 x8
Si1 0.0000 0.0000 0.2501 x24
Ir1 0.0000 0.0000 0.0000 x4
Os1 0.0000 0.0000 0.5000 x4

Values from the calculation:
DFT total energy ... -286.7 eV for the cell shown
Calculated volume ... 196.53 Å³/f.u.
ΔE_f (raw) ... 3.54 eV/f.u.